Record 1
DFT (PBE) results for a relaxed structure of MgPSCl2.

a = 4.7609 Å, b = 4.7609 Å, c = 4.8559 Å
α = 90.00°, β = 90.00°, γ = 90.00°
Space group P4/mmm (No. 123)
Symmetry-distinct sites (fractional):
Mg1 0.0000 0.0000 0.0000 (multiplicity 1)
P1 0.5000 0.5000 0.0000 (multiplicity 1)
S1 0.5000 0.5000 0.5000 (multiplicity 1)
Cl1 0.0000 0.5000 0.5000 (multiplicity 2)

Calculated values
The calculated density comes out at 2.39 g/cm3. Its crystal system is tetragonal. The total magnetization comes out at 0.0 μB/f.u. The value obtained for the raw formation energy is 0.258 eV per atom.

***

Record 2
DFT (PBE) results for a relaxed structure of Pa2CuOs.

a = 6.8672 Å, b = 6.8672 Å, c = 6.8672 Å
α = 90.00°, β = 90.00°, γ = 90.00°
Space group Fm-3m (No. 225)
Symmetry-distinct sites (fractional):
Pa1 0.2500 0.2500 0.2500 (multiplicity 8)
Cu1 0.0000 0.0000 0.0000 (multiplicity 4)
Os1 0.0000 0.0000 0.5000 (multiplicity 4)

Calculated values
The calculated density comes out at 14.68 g/cm3. Its crystal system is cubic. The total magnetization comes out at 0.0 μB/f.u. The energy relative to the elements comes out at -0.074 eV/atom.

***

Record 3
DFT (PBE) results for a relaxed structure of Ca2AcPmTe4.

a = 7.8368 Å, b = 4.5220 Å, c = 7.9955 Å
α = 90.00°, β = 109.04°, γ = 90.00°
Space group P2/m (No. 10)
Symmetry-distinct sites (fractional):
Ca1 0.0000 0.0000 0.0000 (multiplicity 1)
Ca2 0.5000 0.5000 0.0000 (multiplicity 1)
Ac1 0.0000 0.5000 0.5000 (multiplicity 1)
Pm1 0.5000 0.0000 0.5000 (multiplicity 1)
Te1 0.2556 0.5000 0.2426 (multiplicity 2)
Te2 0.2630 0.0000 0.7638 (multiplicity 2)

Calculated values
The calculated density comes out at 5.97 g/cm3. Its crystal system is monoclinic. The total magnetization comes out at 0.0 μB/f.u. The value obtained for the raw formation energy is -1.518 eV per atom.

***

calculated density of number 3 (Ca2AcPmTe4)? 5.97 g/cm3

***

calculated density of number 1 (MgPSCl2)? 2.39 g/cm3